Here is a geometry-optimized MoIF2 structure from Alexandria. Energies are from GGA+U.

Geometry as extended XYZ:
```
8
Lattice="-2.6507 2.6507 6.4571 2.6507 -2.6507 6.4571 2.6507 2.6507 -6.4571" Properties=species:S:1:pos:R:3 pbc="T T T"
Mo 2.6507 1.3253 1.6143
Mo 0.0000 1.3253 4.8428
I 2.6507 -1.3253 4.8428
I 0.0000 3.9760 1.6143
F 2.6507 0.0000 0.0000
F -1.3253 1.3253 3.2285
F 0.0000 0.0000 6.4571
F 1.3253 1.3253 3.2285
```

Computed properties:
ΔE to the lowest computed polymorph = 0.00 eV per formula unit
SG = I4_1/amd (141)